# 1
First-principles (PBE) data for a geometry-optimized Sm6DyY3Ho2 structure, as listed in Alexandria.

Unit cell a=6.228 b=10.782 c=11.835 alpha=90.00 beta=100.05 gamma=90.00
Space group C2/m (No. 12)
Inequivalent atoms, fractional coordinates:
Sm: 0.250 0.000 0.249 [4 per cell]
Sm: 0.250 0.167 0.751 [8 per cell]
Dy: 0.000 0.500 0.000 [2 per cell]
Y: 0.000 0.000 0.500 [2 per cell]
Y: 0.000 0.333 0.500 [4 per cell]
Ho: 0.000 0.167 0.000 [4 per cell]

Results
total magnetization = 0.00 μB/cell
V = 783 Å³/cell
energy of formation from the pure elements = 0.31 kcal/mol of atoms

=====

# 2
First-principles (PBE) data for a geometry-optimized Sm2Dy2Y6Ho structure, as listed in Alexandria.

Unit cell a=5.676 b=12.049 c=10.579 alpha=90.00 beta=90.00 gamma=90.00
Space group Cmmm (No. 65)
Inequivalent atoms, fractional coordinates:
Sm: 0.000 0.134 0.000 [4 per cell]
Dy: 0.000 0.206 0.500 [4 per cell]
Y: 0.000 0.000 0.296 [4 per cell]
Y: 0.000 0.347 0.208 [8 per cell]
Ho: 0.000 0.500 0.500 [2 per cell]

Results
total magnetization = 0.00 μB/cell
V = 724 Å³/cell
energy of formation from the pure elements = 3.34 kcal/mol of atoms

=====

# 3
First-principles (PBE) data for a geometry-optimized SmDy2Y6Ho structure, as listed in Alexandria.

Unit cell a=9.112 b=15.021 c=9.619 alpha=90.00 beta=98.07 gamma=90.00
Space group C2/c (No. 15)
Inequivalent atoms, fractional coordinates:
Sm: 0.000 0.024 0.250 [4 per cell]
Dy: 0.248 0.051 0.547 [8 per cell]
Y: 0.063 0.185 0.943 [8 per cell]
Y: 0.100 0.393 0.118 [8 per cell]
Y: 0.208 0.224 0.316 [8 per cell]
Ho: 0.000 0.409 0.750 [4 per cell]

Results
total magnetization = 0.00 μB/cell
V = 1304 Å³/cell
energy of formation from the pure elements = 2.72 kcal/mol of atoms

=====

# 4
First-principles (PBE) data for a geometry-optimized SmDy6Y2Ho3 structure, as listed in Alexandria.

Unit cell a=6.149 b=10.639 c=11.767 alpha=90.00 beta=99.96 gamma=90.00
Space group C2/m (No. 12)
Inequivalent atoms, fractional coordinates:
Sm: 0.000 0.000 0.000 [2 per cell]
Dy: 0.249 0.000 0.748 [4 per cell]
Dy: 0.249 0.333 0.748 [8 per cell]
Y: 0.000 0.333 0.000 [4 per cell]
Ho: 0.000 0.167 0.500 [4 per cell]
Ho: 0.000 0.500 0.500 [2 per cell]

Results
total magnetization = 0.00 μB/cell
V = 758 Å³/cell
energy of formation from the pure elements = 0.42 kcal/mol of atoms

=====

# 5
First-principles (PBE) data for a geometry-optimized SmDy2YHo2 structure, as listed in Alexandria.

Unit cell a=6.589 b=17.662 c=3.381 alpha=90.00 beta=90.00 gamma=90.00
Space group Pnnm (No. 58)
Inequivalent atoms, fractional coordinates:
Sm: 0.000 0.000 0.000 [2 per cell]
Dy: 0.233 0.317 0.000 [4 per cell]
Y: 0.000 0.500 0.000 [2 per cell]
Ho: 0.231 0.149 0.500 [4 per cell]

Results
total magnetization = 0.00 μB/cell
V = 393 Å³/cell
energy of formation from the pure elements = 6.40 kcal/mol of atoms

=====

# 6
First-principles (PBE) data for a geometry-optimized SmDy2Y5Ho structure, as listed in Alexandria.

Unit cell a=8.902 b=8.902 c=14.847 alpha=90.00 beta=90.00 gamma=90.00
Space group I4/mcm (No. 140)
Inequivalent atoms, fractional coordinates:
Sm: 0.000 0.000 0.250 [4 per cell]
Dy: 0.113 0.387 0.000 [8 per cell]
Y: 0.000 0.000 0.000 [4 per cell]
Y: 0.205 0.295 0.367 [16 per cell]
Ho: 0.000 0.500 0.250 [4 per cell]

Results
total magnetization = 0.00 μB/cell
V = 1177 Å³/cell
energy of formation from the pure elements = 6.47 kcal/mol of atoms

=====

# 7
First-principles (PBE) data for a geometry-optimized Sm2DyY2Ho4 structure, as listed in Alexandria.

Unit cell a=18.644 b=3.590 c=9.543 alpha=90.00 beta=115.74 gamma=90.00
Space group C2/m (No. 12)
Inequivalent atoms, fractional coordinates:
Sm: 0.166 0.000 0.001 [4 per cell]
Dy: 0.000 0.500 0.000 [2 per cell]
Y: 0.147 0.500 0.664 [4 per cell]
Ho: 0.019 0.000 0.334 [4 per cell]
Ho: 0.185 0.500 0.336 [4 per cell]

Results
total magnetization = 0.00 μB/cell
V = 575 Å³/cell
energy of formation from the pure elements = -0.07 kcal/mol of atoms

=====

# 8
First-principles (PBE) data for a geometry-optimized SmDyYHo structure, as listed in Alexandria.

Unit cell a=5.048 b=5.048 c=10.070 alpha=90.00 beta=90.00 gamma=90.00
Space group I-4m2 (No. 119)
Inequivalent atoms, fractional coordinates:
Sm: 0.000 0.000 0.000 [2 per cell]
Dy: 0.000 0.500 0.250 [2 per cell]
Y: 0.000 0.500 0.750 [2 per cell]
Ho: 0.000 0.000 0.500 [2 per cell]

Results
ΔE to the lowest computed polymorph = 0.0 meV per atom
total magnetization = 0.00 μB/cell
V = 257 Å³/cell
energy of formation from the pure elements = 0.47 kcal/mol of atoms

=====

# 9
First-principles (PBE) data for a geometry-optimized Sm2DyY6Ho3 structure, as listed in Alexandria.

Unit cell a=6.181 b=10.694 c=11.812 alpha=90.00 beta=99.99 gamma=90.00
Space group C2/m (No. 12)
Inequivalent atoms, fractional coordinates:
Sm: 0.000 0.167 0.000 [4 per cell]
Dy: 0.000 0.500 0.000 [2 per cell]
Y: 0.248 0.500 0.748 [4 per cell]
Y: 0.249 0.166 0.748 [8 per cell]
Ho: 0.000 0.000 0.500 [2 per cell]
Ho: 0.000 0.333 0.500 [4 per cell]

Results
total magnetization = 0.00 μB/cell
V = 769 Å³/cell
energy of formation from the pure elements = 0.46 kcal/mol of atoms

=====

# 10
First-principles (PBE) data for a geometry-optimized Sm6Dy3YHo2 structure, as listed in Alexandria.

Unit cell a=6.220 b=10.770 c=11.829 alpha=90.00 beta=100.06 gamma=90.00
Space group C2/m (No. 12)
Inequivalent atoms, fractional coordinates:
Sm: 0.249 0.167 0.250 [8 per cell]
Sm: 0.250 0.000 0.750 [4 per cell]
Dy: 0.000 0.000 0.000 [2 per cell]
Dy: 0.000 0.333 0.000 [4 per cell]
Y: 0.000 0.500 0.500 [2 per cell]
Ho: 0.000 0.167 0.500 [4 per cell]

Results
total magnetization = 0.00 μB/cell
V = 780 Å³/cell
energy of formation from the pure elements = 0.32 kcal/mol of atoms

=====

# 11
First-principles (PBE) data for a geometry-optimized Sm6Dy2YHo3 structure, as listed in Alexandria.

Unit cell a=6.217 b=10.764 c=11.818 alpha=90.00 beta=100.06 gamma=90.00
Space group C2/m (No. 12)
Inequivalent atoms, fractional coordinates:
Sm: 0.249 0.167 0.249 [8 per cell]
Sm: 0.250 0.000 0.751 [4 per cell]
Dy: 0.000 0.167 0.500 [4 per cell]
Y: 0.000 0.500 0.500 [2 per cell]
Ho: 0.000 0.000 0.000 [2 per cell]
Ho: 0.000 0.333 0.000 [4 per cell]

Results
total magnetization = 0.00 μB/cell
V = 779 Å³/cell
energy of formation from the pure elements = 0.32 kcal/mol of atoms

=====

# 12
First-principles (PBE) data for a geometry-optimized SmDy3Y6Ho2 structure, as listed in Alexandria.

Unit cell a=6.169 b=10.674 c=11.801 alpha=90.00 beta=99.98 gamma=90.00
Space group C2/m (No. 12)
Inequivalent atoms, fractional coordinates:
Sm: 0.000 0.000 0.000 [2 per cell]
Dy: 0.000 0.167 0.500 [4 per cell]
Dy: 0.000 0.500 0.500 [2 per cell]
Y: 0.249 0.333 0.750 [8 per cell]
Y: 0.250 0.000 0.750 [4 per cell]
Ho: 0.000 0.333 0.000 [4 per cell]

Results
total magnetization = 0.00 μB/cell
V = 765 Å³/cell
energy of formation from the pure elements = 0.47 kcal/mol of atoms

=====

> Which value of total magnetization does entry 5 give?

0.00 μB/cell

=====

> Look up the total magnetization of the first one.

0.00 μB/cell